H4AuBr3N: optimized geometry, PBE.

a b c (Å): 5.2145 8.9881 11.7056
angles (deg): 74.68 106.41 129.70
Last column: nearest neighbours and their distance in Å.
Fractional coordinates of all 18 atoms:
1 Au 0.0742 0.9468 0.7511  4 Br 2.48-2.53
2 Au 0.9026 0.9973 0.2698  2 Br 2.43
3 Br 0.4817 0.6485 0.7214  1 Au 2.48
4 Br 0.4536 0.2964 0.2316  2 H 2.42-2.43, 1 Au 2.43
5 Br 0.3456 0.6904 0.2923  1 Au 2.43, 1 H 2.50
6 Br 0.6744 0.2411 0.7713  1 Au 2.49, 2 H 2.54
7 Br 0.0864 0.8752 0.9757  2 H 2.43-2.53, 1 Au 2.53
8 Br 0.0514 0.0083 0.5288  1 Au 2.50
9 N 0.2277 0.5403 0.0067  4 H 1.04
10 N 0.7569 0.5180 0.4860  4 H 1.03-1.04
11 H 0.2557 0.4679 0.0890  1 N 1.04
12 H 0.4553 0.6292 0.9738  1 N 1.04
13 H 0.1698 0.6277 0.0158  1 N 1.04
14 H 0.0402 0.4406 0.9471  1 N 1.04
15 H 0.6829 0.4297 0.5660  1 N 1.04
16 H 0.0159 0.6183 0.4970  1 N 1.03
17 H 0.6512 0.5905 0.4577  1 N 1.04
18 H 0.6742 0.4335 0.4188  1 N 1.04

Crystal system: triclinic
Electronic total energy, eV/atom: -3.77
Calculated volume, Å³ per cell: 402.31
Energy above the most stable polymorph in this dataset, kJ per mole of atoms: 0.8
SG: No. 1


Ti2InH2: optimized geometry, PBE.

a b c (Å): 3.0050 3.0050 13.1798
angles (deg): 90.00 90.00 89.99
Last column: nearest neighbours and their distance in Å.
Fractional coordinates of all 10 atoms:
1 Ti 0.7497 0.7497 0.5905  4 H 1.92
2 Ti 0.2503 0.2503 0.0905  4 H 1.92
3 Ti 0.7497 0.7497 0.9095  4 H 1.92
4 Ti 0.2503 0.2503 0.4095  4 H 1.92
5 In 0.7504 0.7504 0.2500  8 Ti 2.99, 4 In 3.00
6 In 0.2496 0.2496 0.7500  8 Ti 2.99, 4 In 3.00
7 H 0.2498 0.7502 0.0000  4 Ti 1.92, 4 H 2.12-2.13
8 H 0.7502 0.2498 0.5000  4 Ti 1.92, 4 H 2.12-2.13
9 H 0.2498 0.7502 0.5000  4 Ti 1.92, 4 H 2.12-2.13
10 H 0.7502 0.2498 0.0000  4 Ti 1.92, 4 H 2.12-2.13

Crystal system: tetragonal
Electronic total energy, eV/atom: -5.40
Calculated volume, Å³ per cell: 119.01
Energy above the most stable polymorph in this dataset, kJ per mole of atoms: 2.2
SG: No. 139


NdAs3Ir3: optimized geometry, PBE.

a b c (Å): 6.7523 6.7523 6.7523
angles (deg): 90.00 90.00 90.00
Last column: nearest neighbours and their distance in Å.
Fractional coordinates of all 14 atoms:
1 As 0.0000 0.2500 0.5000  4 Ir 2.39
2 As 0.0000 0.7500 0.5000  4 Ir 2.39
3 As 0.5000 0.0000 0.7500  4 Ir 2.39
4 As 0.7500 0.5000 0.0000  4 Ir 2.39
5 As 0.5000 0.0000 0.2500  4 Ir 2.39
6 As 0.2500 0.5000 0.0000  4 Ir 2.39
7 Ir 0.2500 0.0000 0.5000  4 As 2.39
8 Ir 0.0000 0.5000 0.2500  4 As 2.39
9 Ir 0.5000 0.7500 0.0000  4 As 2.39
10 Ir 0.7500 0.0000 0.5000  4 As 2.39
11 Ir 0.0000 0.5000 0.7500  4 As 2.39
12 Ir 0.5000 0.2500 0.0000  4 As 2.39
13 Nd 0.5000 0.5000 0.5000  12 As 3.77, 12 Ir 3.77
14 Nd 0.0000 0.0000 0.0000  12 As 3.77, 12 Ir 3.77

Formation energy from the elements, eV per formula unit: -1.53
Crystal system: cubic
Electronic total energy, eV/atom: -6.69
Calculated volume, Å³ per cell: 307.86
SG: No. 223


MnCdSi2: optimized geometry, PBE.

a b c (Å): 4.0485 3.2707 4.9650
angles (deg): 70.26 90.00 90.00
Last column: nearest neighbours and their distance in Å.
Fractional coordinates of all 4 atoms:
1 Cd 0.0000 0.5422 0.5496  3 Si 2.53-2.70, 4 Mn 2.80-2.81
2 Mn 0.5000 0.9248 0.7737  4 Si 2.30-2.47
3 Si 0.0000 0.8083 0.0081  2 Mn 2.30, 1 Cd 2.53
4 Si 0.5000 0.2247 0.1686  2 Mn 2.46-2.47, 4 Si 2.71

E_form (uncorrected), kJ/mol of atoms: 29.5
Crystal system: monoclinic
Electronic total energy, eV/atom: -4.93
Calculated volume, Å³ per cell: 61.88
SG: No. 6


LaTb5Tm: optimized geometry, PBE.

a b c (Å): 6.5624 6.5624 11.8644
angles (deg): 105.95 105.95 95.95
Last column: nearest neighbours and their distance in Å.
Fractional coordinates of all 14 atoms:
1 La 0.0000 0.0000 0.0000  6 Tb 3.39-3.64
2 La 0.0000 0.0000 0.5000  6 Tb 3.39-3.64
3 Tb 0.3853 0.0308 0.8321  6 Tb 3.36-3.76, 2 Tm 3.48-3.59, 1 La 3.64
4 Tb 0.4672 0.7609 0.5346  7 Tb 3.31-3.70, 2 Tm 3.38-3.46, 1 La 3.56
5 Tb 0.0308 0.3853 0.3321  6 Tb 3.36-3.76, 2 Tm 3.48-3.59, 1 La 3.64
6 Tb 0.8325 0.1675 0.7500  6 Tb 3.31-3.59, 1 Tm 3.34, 2 La 3.39
7 Tb 0.2391 0.5328 0.9654  7 Tb 3.31-3.70, 2 Tm 3.38-3.46, 1 La 3.56
8 Tb 0.7609 0.4672 0.0346  7 Tb 3.31-3.70, 2 Tm 3.38-3.46, 1 La 3.56
9 Tb 0.1675 0.8325 0.2500  6 Tb 3.31-3.59, 1 Tm 3.34, 2 La 3.39
10 Tb 0.9692 0.6147 0.6679  6 Tb 3.36-3.76, 2 Tm 3.48-3.59, 1 La 3.64
11 Tb 0.5328 0.2391 0.4654  7 Tb 3.31-3.70, 2 Tm 3.38-3.46, 1 La 3.56
12 Tb 0.6147 0.9692 0.1679  6 Tb 3.36-3.76, 2 Tm 3.48-3.59, 1 La 3.64
13 Tm 0.4900 0.5100 0.7500  9 Tb 3.34-3.59
14 Tm 0.5100 0.4900 0.2500  9 Tb 3.34-3.59

Formation energy from the elements, eV per formula unit: 0.68
Crystal system: monoclinic
Electronic total energy, eV/atom: -4.55
Calculated volume, Å³ per cell: 463.39
Energy above the most stable polymorph in this dataset, kJ per mole of atoms: 0.0
SG: No. 15


Co2TeW: optimized geometry, PBE.

a b c (Å): 4.5341 4.5341 4.5312
angles (deg): 81.48 81.48 40.72
Last column: nearest neighbours and their distance in Å.
Fractional coordinates of all 4 atoms:
1 Co 0.9982 0.9982 0.0021  3 W 2.54-2.55, 3 Co 2.58-2.65, 2 Te 2.62
2 Co 0.7382 0.7382 0.7767  2 W 2.45, 1 Te 2.47, 3 Co 2.58-2.65
3 Te 0.4953 0.4953 0.5424  3 Co 2.47-2.62, 1 W 2.73
4 W 0.2683 0.2683 0.1788  5 Co 2.45-2.55, 1 Te 2.73

E_form (uncorrected), kJ/mol of atoms: 39.7
Crystal system: monoclinic
Electronic total energy, eV/atom: -7.16
Calculated volume, Å³ per cell: 60.00
SG: No. 8


Rb2TeRuO6: optimized geometry, PBE.

a b c (Å): 5.8038 5.8036 5.8057
angles (deg): 60.00 60.00 90.00
Last column: nearest neighbours and their distance in Å.
Fractional coordinates of all 10 atoms:
1 Rb 0.7501 0.2499 0.5000  12 O 2.90
2 Rb 0.2499 0.7501 0.5000  12 O 2.90
3 Te 0.5000 0.5000 0.0000  6 O 2.08-2.10
4 Ru 0.0000 0.0000 0.0000  6 O 2.01-2.02
5 O 0.2449 0.2449 0.5109  1 Ru 2.01, 1 Te 2.10
6 O 0.7534 0.7534 0.0004  1 Ru 2.02, 1 Te 2.08
7 O 0.2467 0.7534 0.0000  1 Ru 2.02, 1 Te 2.08
8 O 0.7533 0.2466 0.0000  1 Ru 2.02, 1 Te 2.08
9 O 0.2466 0.2466 0.9996  1 Ru 2.02, 1 Te 2.08
10 O 0.7551 0.7551 0.4892  1 Ru 2.01, 1 Te 2.10

E_form (uncorrected), kJ/mol of atoms: -100.1
Crystal system: tetragonal
Electronic total energy, eV/atom: -5.45
Calculated volume, Å³ per cell: 138.28
SG: No. 139


MgZr2Br: optimized geometry, PBE.

a b c (Å): 5.3110 5.3110 3.2407
angles (deg): 90.00 90.00 107.24
Last column: nearest neighbours and their distance in Å.
Fractional coordinates of all 4 atoms:
1 Br 0.5000 0.0000 0.5000  8 Zr 3.11, 2 Mg 3.15, 2 Br 3.24
2 Mg 0.0000 0.5000 0.5000  8 Zr 3.11, 2 Br 3.15, 2 Mg 3.24
3 Zr 0.0000 0.0000 0.0000  4 Br 3.11, 4 Mg 3.11, 4 Zr 3.15-3.24
4 Zr 0.5000 0.5000 0.0000  4 Mg 3.11, 4 Br 3.11, 4 Zr 3.15-3.24

E_form (uncorrected), kJ/mol of atoms: 7.5
Crystal system: orthorhombic
Electronic total energy, eV/atom: -5.01
Calculated volume, Å³ per cell: 87.30
Energy above the most stable polymorph in this dataset, kJ per mole of atoms: 34.2
SG: No. 65


KAl3O: optimized geometry, PBE.

a b c (Å): 4.6743 4.6743 4.6743
angles (deg): 90.00 90.00 90.00
Last column: nearest neighbours and their distance in Å.
Fractional coordinates of all 5 atoms:
1 K 0.5000 0.5000 0.5000  12 Al 3.31
2 Al 0.0000 0.5000 0.0000  2 O 2.34
3 Al 0.0000 0.0000 0.5000  2 O 2.34
4 Al 0.5000 0.0000 0.0000  2 O 2.34
5 O 0.0000 0.0000 0.0000  6 Al 2.34

E_form (uncorrected), kJ/mol of atoms: 5.8
Crystal system: cubic
Electronic total energy, eV/atom: -3.40
Calculated volume, Å³ per cell: 102.13
Energy above the most stable polymorph in this dataset, kJ per mole of atoms: 0.0
SG: No. 221


CsSiP2O8: optimized geometry, PBE.

a b c (Å): 4.8282 4.8282 9.0559
angles (deg): 90.00 90.00 120.00
Last column: nearest neighbours and their distance in Å.
Fractional coordinates of all 12 atoms:
1 Cs 0.0000 0.0000 0.0000  6 O 3.14
2 Si 0.0000 0.0000 0.5000  6 O 1.77
3 P 0.6667 0.3333 0.3281  4 O 1.52-1.55
4 P 0.3333 0.6667 0.6719  4 O 1.52-1.55
5 O 0.3333 0.6667 0.8393  1 P 1.52
6 O 0.3301 0.2473 0.3852  1 P 1.55
7 O 0.7527 0.0829 0.3852  1 P 1.55
8 O 0.6667 0.3333 0.1607  1 P 1.52
9 O 0.2473 0.9171 0.6148  1 P 1.55
10 O 0.6699 0.7527 0.6148  1 P 1.55
11 O 0.0829 0.3301 0.6148  1 P 1.55
12 O 0.9171 0.6699 0.3852  1 P 1.55

E_form (uncorrected), kJ/mol of atoms: -210.6
Crystal system: trigonal
Electronic total energy, eV/atom: -6.91
Calculated volume, Å³ per cell: 182.83
SG: No. 147


Ca2GaIO6: optimized geometry, PBE.

a b c (Å): 5.6764 5.6767 6.4032
angles (deg): 63.68 63.68 60.00
Last column: nearest neighbours and their distance in Å.
Fractional coordinates of all 10 atoms:
1 Ca 0.5153 0.5153 0.4540  6 O 2.39-2.47
2 Ca 0.0259 0.0259 0.9224  6 O 2.31-2.52
3 Ga 0.7627 0.7627 0.7120  3 O 1.80
4 I 0.3117 0.3117 0.0649  3 O 1.88
5 O 0.5663 0.2362 0.2205  1 I 1.88
6 O 0.2362 0.9771 0.2205  1 I 1.88
7 O 0.9771 0.5663 0.2204  1 I 1.88
8 O 0.4537 0.7269 0.7335  1 Ga 1.80
9 O 0.7269 0.0859 0.7335  1 Ga 1.80
10 O 0.0859 0.4537 0.7335  1 Ga 1.80

E_form (uncorrected), kJ/mol of atoms: -173.0
Crystal system: trigonal
Electronic total energy, eV/atom: -5.63
Calculated volume, Å³ per cell: 153.50
SG: No. 146


LiSmEr2S4: optimized geometry, PBE.

a b c (Å): 3.8816 6.7478 6.7575
angles (deg): 109.29 90.00 90.00
Last column: nearest neighbours and their distance in Å.
Fractional coordinates of all 8 atoms:
1 Li 0.5000 0.5000 0.0000  6 S 2.73-2.75
2 Sm 0.0000 0.0000 0.0000  6 S 2.80
3 Er 0.5000 0.0000 0.5000  6 S 2.76-2.78
4 Er 0.0000 0.5000 0.5000  6 S 2.71
5 S 0.5000 0.2605 0.2559  3 Er 2.71-2.78, 1 Li 2.73, 2 Sm 2.80
6 S 0.5000 0.7395 0.7441  3 Er 2.71-2.78, 1 Li 2.73, 2 Sm 2.80
7 S 0.0000 0.2549 0.7468  3 Er 2.71-2.76, 2 Li 2.75, 1 Sm 2.80
8 S 0.0000 0.7451 0.2532  3 Er 2.71-2.76, 2 Li 2.75, 1 Sm 2.80

E_form (uncorrected), kJ/mol of atoms: -185.9
Crystal system: monoclinic
Electronic total energy, eV/atom: -5.96
Calculated volume, Å³ per cell: 167.06
SG: No. 10


LaTlSb: optimized geometry, PBE.

a b c (Å): 5.0891 5.0891 4.1935
angles (deg): 90.00 90.00 120.00
Last column: nearest neighbours and their distance in Å.
Fractional coordinates of all 3 atoms:
1 La 0.0000 0.0000 0.9831  3 Tl 3.32, 3 Sb 3.43
2 Sb 0.6667 0.3333 0.4049  3 Tl 3.06, 3 La 3.43
3 Tl 0.3333 0.6667 0.6120  3 Sb 3.06, 3 La 3.32

E_form (uncorrected), kJ/mol of atoms: -48.7
Crystal system: trigonal
Electronic total energy, eV/atom: -4.31
Calculated volume, Å³ per cell: 94.06
Energy above the most stable polymorph in this dataset, kJ per mole of atoms: 22.2
SG: No. 156


TcAu4Cl: optimized geometry, PBE.

a b c (Å): 5.5481 5.5481 5.5481
angles (deg): 60.00 60.00 60.00
Last column: nearest neighbours and their distance in Å.
Fractional coordinates of all 6 atoms:
1 Tc 0.0000 0.0000 0.0000  12 Au 3.25, 4 Cl 3.40
2 Au 0.8749 0.3750 0.3750  6 Au 2.77-2.78
3 Au 0.3750 0.3750 0.8749  6 Au 2.77-2.78
4 Au 0.3750 0.8749 0.3750  6 Au 2.77-2.78
5 Au 0.3750 0.3750 0.3750  6 Au 2.77-2.78
6 Cl 0.7500 0.7500 0.7500  12 Au 3.25, 4 Tc 3.40

E_form (uncorrected), kJ/mol of atoms: 52.2
Crystal system: cubic
Electronic total energy, eV/atom: -3.68
Calculated volume, Å³ per cell: 120.76
SG: No. 216


TaRu2Pb: optimized geometry, PBE.

a b c (Å): 3.4788 4.4237 4.4237
angles (deg): 90.00 90.00 90.00
Last column: nearest neighbours and their distance in Å.
Fractional coordinates of all 4 atoms:
1 Pb 0.5000 0.0000 0.5000  8 Ru 2.81, 4 Ta 3.13
2 Ru 0.0000 0.0000 0.0000  4 Ta 2.81, 4 Pb 2.81, 4 Ru 3.13
3 Ru 0.0000 0.5000 0.5000  4 Ta 2.81, 4 Pb 2.81, 4 Ru 3.13
4 Ta 0.5000 0.5000 0.0000  8 Ru 2.81, 4 Pb 3.13

Formation energy from the elements, eV per formula unit: 0.58
Crystal system: tetragonal
Electronic total energy, eV/atom: -8.38
Calculated volume, Å³ per cell: 68.08
SG: No. 123


MnTlC3: optimized geometry, PBE.

a b c (Å): 4.3825 4.3825 4.3825
angles (deg): 90.00 90.00 90.00
Last column: nearest neighbours and their distance in Å.
Fractional coordinates of all 5 atoms:
1 Tl 0.0000 0.0000 0.0000  6 C 2.19
2 Mn 0.5000 0.5000 0.5000  12 C 3.10
3 C 0.0000 0.5000 0.0000  2 Tl 2.19
4 C 0.0000 0.0000 0.5000  2 Tl 2.19
5 C 0.5000 0.0000 0.0000  2 Tl 2.19

Formation energy from the elements, eV per formula unit: 17.39
Crystal system: cubic
Electronic total energy, eV/atom: -4.36
Calculated volume, Å³ per cell: 84.17
Energy above the most stable polymorph in this dataset, kJ per mole of atoms: 157.0
SG: No. 221


SrZn3Ga4: optimized geometry, PBE.

a b c (Å): 4.4700 4.4700 8.0375
angles (deg): 90.00 90.00 90.00
Last column: nearest neighbours and their distance in Å.
Fractional coordinates of all 8 atoms:
1 Sr 0.0000 0.0000 0.5000  8 Zn 3.40, 8 Ga 3.44
2 Zn 0.0000 0.0000 0.0000  8 Ga 2.64
3 Zn 0.5000 0.5000 0.3444  1 Zn 2.50, 4 Ga 2.62
4 Zn 0.5000 0.5000 0.6556  1 Zn 2.50, 4 Ga 2.62
5 Ga 0.5000 0.0000 0.1748  4 Zn 2.62-2.64, 1 Ga 2.81
6 Ga 0.0000 0.5000 0.1748  4 Zn 2.62-2.64, 1 Ga 2.81
7 Ga 0.5000 0.0000 0.8252  4 Zn 2.62-2.64, 1 Ga 2.81
8 Ga 0.0000 0.5000 0.8252  4 Zn 2.62-2.64, 1 Ga 2.81

Formation energy from the elements, eV per formula unit: -1.75
Crystal system: tetragonal
Electronic total energy, eV/atom: -2.42
Calculated volume, Å³ per cell: 160.60
SG: No. 123


ZnCoGeRh: optimized geometry, PBE.

a b c (Å): 4.1847 4.1847 4.1847
angles (deg): 60.00 60.00 60.00
Last column: nearest neighbours and their distance in Å.
Fractional coordinates of all 4 atoms:
1 Co 0.0000 0.0000 0.0000  4 Ge 2.56, 4 Zn 2.56
2 Ge 0.7500 0.7500 0.7500  4 Co 2.56, 4 Rh 2.56
3 Rh 0.5000 0.5000 0.5000  4 Ge 2.56, 4 Zn 2.56
4 Zn 0.2500 0.2500 0.2500  4 Co 2.56, 4 Rh 2.56

Formation energy from the elements, eV per formula unit: -1.11
Crystal system: cubic
Electronic total energy, eV/atom: -5.36
Calculated volume, Å³ per cell: 51.82
SG: No. 216


Y2TlP: optimized geometry, PBE.

a b c (Å): 5.1680 5.1680 5.1680
angles (deg): 60.00 60.00 60.00
Last column: nearest neighbours and their distance in Å.
Fractional coordinates of all 4 atoms:
1 Y 0.2500 0.2500 0.2500  4 Tl 3.16, 4 P 3.16
2 Y 0.7500 0.7500 0.7500  4 Tl 3.16, 4 P 3.16
3 P 0.0000 0.0000 0.0000  8 Y 3.16
4 Tl 0.5000 0.5000 0.5000  8 Y 3.16

Formation energy from the elements, eV per formula unit: -1.92
Crystal system: cubic
Electronic total energy, eV/atom: -5.66
Calculated volume, Å³ per cell: 97.60
Energy above the most stable polymorph in this dataset, kJ per mole of atoms: 50.0
SG: No. 225